[1]
Below is a relaxed BeRe2Si crystal, with properties calculated at the PBE level.

The space group is P4/mmm (No. 123) and the conventional cell measures 2.938, 2.938 and 5.755 Å, with angles of 90.00, 90.00 and 90.00 degrees. The asymmetric unit holds Be at (0.000, 0.000, 0.000), Re at (0.500, 0.500, 0.238) and Si at (0.000, 0.000, 0.500).

The value obtained for the density of states at the Fermi level is 2.71 states/eV/cell. As for the magnetic moment: 0.0 μB/f.u. Its formation energy from raw total energies is 0.0 eV/f.u. Its final energy is -8.511 eV/atom.

[2]
Below is a relaxed GdYTmSc crystal, with properties calculated at the PBE level.

The space group is F-43m (No. 216) and the conventional cell measures 7.819, 7.819 and 7.819 Å, with angles of 90.00, 90.00 and 90.00 degrees. The asymmetric unit holds Gd at (0.000, 0.000, 0.000), Y at (0.000, 0.000, 0.500), Tm at (0.250, 0.250, 0.250) and Sc at (0.250, 0.250, 0.750).

The value obtained for the density of states at the Fermi level is 30.09 states/eV/cell. As for the magnetic moment: 7.4 μB/f.u. Its final energy is -7.730 eV/atom.

[3]
Below is a relaxed CsI2OF crystal, with properties calculated at the PBE level.

The space group is P4/mmm (No. 123) and the conventional cell measures 4.948, 4.948 and 6.991 Å, with angles of 90.00, 90.00 and 90.00 degrees. The asymmetric unit holds Cs at (0.000, 0.000, 0.000), I at (0.000, 0.500, 0.500), O at (0.500, 0.500, 0.000) and F at (0.500, 0.500, 0.500).

The value obtained for the density of states at the Fermi level is 6.51 states/eV/cell. As for the magnetic moment: 1.3 μB/f.u. For the relative energy among the computed polymorphs, the calculation gives 0 meV/atom. Its formation energy from raw total energies is -1.6 eV/f.u. Its final energy is -2.479 eV/atom.

[4]
Below is a relaxed Ta4CoTc crystal, with properties calculated at the PBE level.

The space group is F-43m (No. 216) and the conventional cell measures 7.517, 7.517 and 7.517 Å, with angles of 90.00, 90.00 and 90.00 degrees. The asymmetric unit holds Ta at (0.124, 0.124, 0.376), Co at (0.000, 0.000, 0.000) and Tc at (0.250, 0.250, 0.750).

The value obtained for the density of states at the Fermi level is 37.52 states/eV/cell. As for the magnetic moment: 1.7 μB/f.u. Its final energy is -10.211 eV/atom.

[5]
Below is a relaxed Li2AgBi crystal, with properties calculated at the PBE level.

The space group is Fm-3m (No. 225) and the conventional cell measures 6.731, 6.731 and 6.731 Å, with angles of 90.00, 90.00 and 90.00 degrees. The asymmetric unit holds Li at (0.250, 0.250, 0.250), Ag at (0.000, 0.000, 0.000) and Bi at (0.000, 0.000, 0.500).

The value obtained for the density of states at the Fermi level is 5.54 states/eV/cell. As for the magnetic moment: 0.0 μB/f.u. For the relative energy among the computed polymorphs, the calculation gives 0 meV/atom. Its final energy is -2.986 eV/atom.

[6]
Below is a relaxed ZnCrCu2 crystal, with properties calculated at the PBE level.

The space group is Cmmm (No. 65) and the conventional cell measures 5.289, 7.681 and 2.494 Å, with angles of 90.00, 90.00 and 90.00 degrees. The asymmetric unit holds Zn at (0.000, 0.000, 0.000), Cr at (0.000, 0.500, 0.000) and Cu at (0.250, 0.250, 0.500).

The value obtained for the density of states at the Fermi level is 6.04 states/eV/cell. As for the magnetic moment: 1.7 μB/f.u. Its final energy is -4.547 eV/atom.

[7]
Below is a relaxed Ba2ZnTc crystal, with properties calculated at the PBE level.

The space group is Amm2 (No. 38) and the conventional cell measures 4.639, 4.853 and 11.830 Å, with angles of 90.00, 90.00 and 90.00 degrees. The asymmetric unit holds Ba at (0.000, 0.000, 0.000), Ba at (0.500, 0.000, 0.285), Zn at (0.500, 0.000, 0.593) and Tc at (0.000, 0.000, 0.680).

The value obtained for the density of states at the Fermi level is 8.11 states/eV/cell. As for the magnetic moment: 1.1 μB/f.u. Its final energy is -3.478 eV/atom.

[8]
Below is a relaxed EuSnPb4 crystal, with properties calculated at the PBE level.

The space group is F-43m (No. 216) and the conventional cell measures 9.209, 9.209 and 9.209 Å, with angles of 90.00, 90.00 and 90.00 degrees. The asymmetric unit holds Eu at (0.000, 0.000, 0.000), Sn at (0.250, 0.250, 0.250) and Pb at (0.125, 0.125, 0.625).

The value obtained for the density of states at the Fermi level is 49.03 states/eV/cell. As for the magnetic moment: 7.1 μB/f.u. Its final energy is -4.963 eV/atom.

[9]
Below is a relaxed CaSi2Pb crystal, with properties calculated at the PBE level.

The space group is I4/mmm (No. 139) and the conventional cell measures 4.439, 4.439 and 9.128 Å, with angles of 90.00, 90.00 and 90.00 degrees. The asymmetric unit holds Ca at (0.000, 0.000, 0.000), Si at (0.000, 0.500, 0.250) and Pb at (0.000, 0.000, 0.500).

The value obtained for the density of states at the Fermi level is 4.09 states/eV/cell. As for the magnetic moment: 0.0 μB/f.u. Its formation energy from raw total energies is 0.5 eV/f.u. Its final energy is -4.024 eV/atom.

[10]
Below is a relaxed LaGe3Pb crystal, with properties calculated at the PBE level.

The space group is Pm-3m (No. 221) and the conventional cell measures 5.620, 5.620 and 5.620 Å, with angles of 90.00, 90.00 and 90.00 degrees. The asymmetric unit holds La at (0.000, 0.000, 0.000), Ge at (0.000, 0.000, 0.500) and Pb at (0.500, 0.500, 0.500).

The value obtained for the density of states at the Fermi level is 4.74 states/eV/cell. As for the magnetic moment: 0.0 μB/f.u. For the relative energy among the computed polymorphs, the calculation gives 218 meV/atom. Its final energy is -3.774 eV/atom.

[11]
Below is a relaxed NdMnNi3 crystal, with properties calculated at the PBE level.

The space group is P-3m1 (No. 164) and the conventional cell measures 5.8600, 5.8600 and 5.4174 Å, with angles of 90.00, 90.00 and 120.00 degrees. The asymmetric unit holds Nd at (0.3333, 0.6667, 0.2492), Mn at (0.0000, 0.0000, 0.0000), Mn at (0.0000, 0.0000, 0.5000) and Ni at (0.1970, 0.3940, 0.7493).

The value obtained for the density of states at the Fermi level is 5.84 states/eV/cell. As for the magnetic moment: 4.0 μB/f.u. Its final energy is -6.324 eV/atom.

[12]
Below is a relaxed V5Si2P crystal, with properties calculated at the PBE level.

The space group is I4/mcm (No. 140) and the conventional cell measures 6.134, 6.134 and 11.032 Å, with angles of 90.00, 90.00 and 90.00 degrees. The asymmetric unit holds V at (0.000, 0.000, 0.000), V at (0.166, 0.334, 0.153), Si at (0.133, 0.367, 0.500) and P at (0.000, 0.000, 0.250).

The value obtained for the density of states at the Fermi level is 25.63 states/eV/cell. As for the magnetic moment: 0.0 μB/f.u. Its formation energy from raw total energies is -4.9 eV/f.u. Its final energy is -8.338 eV/atom.